Material: HfFe3N
Method: DFT, PBE
State: relaxed Values from VASP.

Raw total energy (eV/atom): -8.995
Formation energy (no corrections) (eV/atom): -0.2621
Symmetry: No. 221
D(E_F) (states/eV/f.u.): 4.21
Energy above the lowest structure with this stoichiometry (meV per atom): 0

Geometry as Quantum ESPRESSO input:
```
&SYSTEM
  ibrav = 0, nat = 5, ntyp = 3
/
ATOMIC_SPECIES
Fe 55.84 Fe.upf
N 14.01 N.upf
Hf 178.49 Hf.upf
CELL_PARAMETERS angstrom
-3.035 -2.026 1.154
1.492 -0.231 3.517
-1.792 3.239 0.973
ATOMIC_POSITIONS crystal
Fe 0.000 0.500 0.000
N 0.000 0.000 0.000
Fe 0.500 0.000 0.000
Hf 0.500 0.500 0.500
Fe 0.000 0.000 0.500
```